# 1
Crystalline Gd2ThTl at its relaxed geometry, computed with PBE.

Properties
For the calculated volume, the calculation gives 132.7 Å³ per cell. The size of the total moment comes out at 14.6 Bohr magnetons per cell. The calculated formation energy comes out at 67 meV per atom. The final energy comes out at -9.42 eV/atom. The value obtained for the polymorph energy (0 for the lowest one) is 24.7 kJ/mol of atoms.

Geometry as POSCAR:
```
Gd2ThTl
1.0
3.570 0.000 0.000
1.785 3.092 0.000
1.785 1.031 12.027
Gd Tl Th
2 1 1
Cartesian
5.355 3.092 3.236
1.785 1.031 8.791
0.000 0.000 0.000
3.570 2.061 6.013
```

=====

# 2
Crystalline BaNi2Hg at its relaxed geometry, computed with PBE.

Properties
For the calculated volume, the calculation gives 100.0 Å³ per cell. The size of the total moment comes out at 0.2 Bohr magnetons per cell. The calculated formation energy comes out at 199 meV per atom. The final energy comes out at -3.25 eV/atom.

Geometry as POSCAR:
```
BaNi2Hg
1.0
-4.373 -2.229 -2.340
-0.205 -4.414 3.170
-0.440 5.357 0.822
Hg Ni Ba
1 2 1
Cartesian
-3.851 -0.531 -0.497
-1.020 -0.540 2.122
-0.211 -0.306 0.038
-2.226 -3.229 0.403
```

=====

# 3
Crystalline Ca2ZnCd3 at its relaxed geometry, computed with PBE.

Properties
For the calculated volume, the calculation gives 151.3 Å³ per cell. The size of the total moment comes out at 0.0 Bohr magnetons per cell. The calculated formation energy comes out at -306 meV per atom. The final energy comes out at -1.64 eV/atom.

Geometry as POSCAR:
```
Ca2ZnCd3
1.0
-1.904 -2.452 1.855
3.690 -0.441 3.205
-3.382 6.221 4.750
Ca Zn Cd
2 1 3
Cartesian
-1.667 3.066 2.341
1.815 -0.164 1.645
-0.232 0.624 4.111
-1.541 -0.142 1.755
-1.327 2.639 5.649
-3.774 3.966 4.891
```

=====

# 4
Crystalline GdNiPd at its relaxed geometry, computed with PBE.

Properties
For the calculated volume, the calculation gives 54.7 Å³ per cell. The size of the total moment comes out at 7.2 Bohr magnetons per cell. The calculated formation energy comes out at -395 meV per atom. The final energy comes out at -8.75 eV/atom. The value obtained for the polymorph energy (0 for the lowest one) is 13.7 kJ/mol of atoms.

Geometry as POSCAR:
```
GdNiPd
1.0
-1.481 2.733 1.580
0.182 -1.669 3.056
4.719 1.250 -1.587
Pd Gd Ni
1 1 1
Cartesian
2.395 1.049 0.430
0.271 0.935 2.484
2.952 2.109 2.965
```